(1)
The following is a DFT calculation (PBEsol) of an optimized crystal structure of LaH3Pd.

It has space group Pm-3m (No. 221), with a = 4.2593 Å, b = 4.2593 Å, c = 4.2593 Å, α = 90.00°, β = 90.00° and γ = 90.00°. The asymmetric unit holds La at (0.0000, 0.0000, 0.0000), H at (0.0000, 0.0000, 0.5000) and Pd at (0.5000, 0.5000, 0.5000).

For the electronic total energy, the calculation gives -3.875 eV/atom.

=====

(2)
The following is a DFT calculation (PBEsol) of an optimized crystal structure of La3HPd.

It has space group Pm-3m (No. 221), with a = 4.8721 Å, b = 4.8721 Å, c = 4.8721 Å, α = 90.00°, β = 90.00° and γ = 90.00°. The asymmetric unit holds La at (0.0000, 0.0000, 0.5000), H at (0.0000, 0.0000, 0.0000) and Pd at (0.5000, 0.5000, 0.5000).

For the electronic total energy, the calculation gives -5.265 eV/atom.

=====

(3)
The following is a DFT calculation (PBEsol) of an optimized crystal structure of SrLa2HPd.

It has space group P4/mmm (No. 123), with a = 5.9024 Å, b = 5.9024 Å, c = 4.9140 Å, α = 90.00°, β = 90.00° and γ = 90.00°. The asymmetric unit holds Sr at (0.0000, 0.0000, 0.0000), La at (0.0000, 0.5000, 0.0000), H at (0.5000, 0.5000, 0.5000) and Pd at (0.0000, 0.0000, 0.5000).

For the electronic total energy, the calculation gives -3.122 eV/atom.

=====

(4)
The following is a DFT calculation (PBEsol) of an optimized crystal structure of LaHPt.

It has space group C2/m (No. 12), with a = 11.4148 Å, b = 4.0923 Å, c = 4.5038 Å, α = 90.00°, β = 94.45° and γ = 90.00°. The asymmetric unit holds La at (0.1301, 0.0000, 0.2572), H at (0.1915, 0.5000, 0.0091) and Pt at (0.0819, 0.5000, 0.7316).

For the electronic total energy, the calculation gives -6.061 eV/atom.

=====

(5)
The following is a DFT calculation (PBEsol) of an optimized crystal structure of La3HPt.

It has space group Pm-3m (No. 221), with a = 4.8228 Å, b = 4.8228 Å, c = 4.8228 Å, α = 90.00°, β = 90.00° and γ = 90.00°. The asymmetric unit holds La at (0.0000, 0.0000, 0.5000), H at (0.0000, 0.0000, 0.0000) and Pt at (0.5000, 0.5000, 0.5000).

For the electronic total energy, the calculation gives -5.574 eV/atom.

=====

(6)
The following is a DFT calculation (PBEsol) of an optimized crystal structure of La2HPt.

It has space group Fm-3m (No. 225), with a = 6.9897 Å, b = 6.9897 Å, c = 6.9897 Å, α = 90.00°, β = 90.00° and γ = 90.00°. The asymmetric unit holds La at (0.2500, 0.2500, 0.2500), H at (0.0000, 0.0000, 0.0000) and Pt at (0.0000, 0.0000, 0.5000).

For the electronic total energy, the calculation gives -5.765 eV/atom.

=====

(7)
The following is a DFT calculation (PBEsol) of an optimized crystal structure of RbLaH2.

It has space group I-42d (No. 122), with a = 6.0701 Å, b = 6.0701 Å, c = 11.2798 Å, α = 90.00°, β = 90.00° and γ = 90.00°. The asymmetric unit holds Rb at (0.0000, 0.0000, 0.0000), La at (0.0000, 0.0000, 0.5000) and H at (0.1399, 0.2500, 0.6250).

For the electronic total energy, the calculation gives -3.298 eV/atom.

=====

(8)
The following is a DFT calculation (PBEsol) of an optimized crystal structure of LaHRh2.

It has space group Fd-3m (No. 227, origin choice 2), with a = 7.8471 Å, b = 7.8471 Å, c = 7.8471 Å, α = 90.00°, β = 90.00° and γ = 90.00°. The asymmetric unit holds La at (0.1250, 0.1250, 0.1250), H at (0.1250, 0.1250, 0.6250) and Rh at (0.0000, 0.0000, 0.5000).

For the electronic total energy, the calculation gives -6.729 eV/atom.

=====

Question: Look up the electronic total energy of the sixth one.
Answer: -5.765 eV/atom